# TbScAg, relaxed, DFT PBE
data_TbScAg
_chemical_formula_sum 'Tb2 Sc2 Ag2'
_cell_length_a 4.883
_cell_length_b 4.883
_cell_length_c 8.472
_cell_angle_alpha 73.25
_cell_angle_beta 73.25
_cell_angle_gamma 60.00
_space_group_name_H-M_alt 'P 1'
_space_group_IT_number 1
_space_group_name_Hall 'P 1'
loop_
_atom_site_label
_atom_site_fract_x
_atom_site_fract_y
_atom_site_fract_z
Tb1 0.879 0.879 0.364
Tb2 0.121 0.121 0.636
Ag1 0.746 0.746 0.762
Ag2 0.254 0.254 0.238
Sc1 0.629 0.629 0.114
Sc2 0.371 0.371 0.886
# Calculated density ... 6.276 g/cm3
# E_tot ... -27.1 eV per cell
# Energy of formation from the pure elements ... 0.089 eV per atom
# Fermi-level density of states ... 1.37 states/eV per atom
# M_tot ... 0.000 μB per formula unit
# Calculated volume ... 27.494 Å³/atom